Entry 1:
9
Lattice="4.980 0.078 0.001 2.558 4.424 0.003 0.001 0.001 4.690" Properties=species:S:1:pos:R:3 comment="NaAcTcH6 GGA-PBE relaxed" vol_a3_per_atom=11.4 total_magnetization_mub_per_fu=1.02 e_tot_ev_per_atom=-4.17 sg="C2, No. 5" density_g_cm3=5.74 pbc="T T T"
Na 5.036 2.997 2.347
Ac 4.974 0.083 4.691
Tc 2.581 1.465 2.346
H 1.523 2.073 1.124
H 2.434 0.265 3.613
H 3.548 2.189 3.615
H 1.520 2.068 3.568
H 3.551 2.187 1.078
H 2.430 0.266 1.078

Entry 2:
12
Lattice="-1.572 2.520 3.811 -1.028 -4.706 -0.375 6.444 -1.709 3.787" Properties=species:S:1:pos:R:3 comment="NaAcZn2H8 GGA-PBE relaxed" vol_a3_per_atom=12.9 total_magnetization_mub_per_fu=0.00 e_tot_ev_per_atom=-3.11 sg="P-3, No. 147" density_g_cm3=4.17 pbc="T T T"
Na 3.222 -0.855 1.894
Ac 0.000 0.000 0.000
Zn 0.134 -0.293 3.312
Zn 3.710 -3.602 3.912
H 5.166 -3.988 4.768
H 0.994 -1.004 2.136
H 0.614 1.186 3.771
H -1.322 0.093 2.456
H 3.231 -5.081 3.453
H 2.850 -2.891 5.088
H 4.293 -2.633 2.750
H -0.448 -1.262 4.474